# 1
# CdMo2F PBE+U optimized geometry
data_CdMo2F
_chemical_formula_sum 'Cd4 Mo8 F4'
_space_group_name_H-M_alt 'F m -3 m'
_space_group_IT_number 225
_space_group_name_Hall '-F 4 2 3'
_cell_length_a 6.381
_cell_length_b 6.381
_cell_length_c 6.381
_cell_angle_alpha 90.00
_cell_angle_beta 90.00
_cell_angle_gamma 90.00
loop_
_atom_site_label
_atom_site_fract_x
_atom_site_fract_y
_atom_site_fract_z
Cd1 0.000 0.000 0.000
Mo1 0.250 0.250 0.250
F1 0.000 0.000 0.500
# - Energy above the most stable polymorph in this dataset: 0.651 eV per atom
# - Total moment: 0.28 μB per formula unit
# - Density of states at the Fermi level: 2.90 states/eV/f.u.
# - ρ: 8.27 g/cm3
# - Raw total energy: -11.809 eV/f.u.



# 2
# NaCd2MoF8 PBE+U optimized geometry
data_NaCd2MoF8
_chemical_formula_sum 'Na1 Cd2 Mo1 F8'
_space_group_name_H-M_alt 'P 1 2/m 1'
_space_group_IT_number 10
_cell_length_a 4.527
_cell_length_b 7.252
_cell_length_c 5.368
_cell_angle_alpha 90.00
_cell_angle_beta 90.99
_cell_angle_gamma 90.00
loop_
_space_group_symop_operation_xyz
'x,y,z'
'-x,-y,-z'
'-x,y,-z'
'x,-y,z'
loop_
_atom_site_label
_atom_site_fract_x
_atom_site_fract_y
_atom_site_fract_z
Na1 0.000 0.000 0.000
Cd1 0.500 0.242 0.500
Mo1 0.000 0.500 0.000
F1 0.128 0.278 0.772
F2 0.361 0.500 0.257
F3 0.371 0.000 0.269
# - Total moment: 3.00 μB per formula unit
# - Density of states at the Fermi level: 0.00 states/eV/f.u.
# - ρ: 4.67 g/cm3
# - Raw total energy: -54.182 eV/f.u.



# 3
# Na2CdMoF8 PBE+U optimized geometry
data_Na2CdMoF8
_chemical_formula_sum 'Na2 Cd1 Mo1 F8'
_space_group_name_H-M_alt 'P -1'
_space_group_IT_number 2
_cell_length_a 5.024
_cell_length_b 5.175
_cell_length_c 7.128
_cell_angle_alpha 89.36
_cell_angle_beta 89.44
_cell_angle_gamma 87.99
loop_
_space_group_symop_operation_xyz
'x,y,z'
'-x,-y,-z'
loop_
_atom_site_label
_atom_site_fract_x
_atom_site_fract_y
_atom_site_fract_z
Na1 0.005 0.005 0.243
Cd1 0.500 0.500 0.000
Mo1 0.500 0.500 0.500
F1 0.203 0.794 0.001
F2 0.220 0.778 0.500
F3 0.312 0.318 0.707
F4 0.317 0.320 0.283
# - Total moment: 2.00 μB per formula unit
# - Density of states at the Fermi level: 0.00 states/eV/f.u.
# - ρ: 3.64 g/cm3
# - Raw total energy: -56.232 eV/f.u.



# 4
# Cd2MoO4F PBE+U optimized geometry
data_Cd2MoO4F
_chemical_formula_sum 'Cd4 Mo2 O8 F2'
_space_group_name_H-M_alt 'C 1 2/m 1'
_space_group_IT_number 12
_cell_length_a 10.084
_cell_length_b 3.173
_cell_length_c 6.850
_cell_angle_alpha 90.00
_cell_angle_beta 113.41
_cell_angle_gamma 90.00
loop_
_space_group_symop_operation_xyz
'x,y,z'
'-x,-y,-z'
'-x,y,-z'
'x,-y,z'
'x+1/2,y+1/2,z'
'-x+1/2,-y+1/2,-z'
'-x+1/2,y+1/2,-z'
'x+1/2,-y+1/2,z'
loop_
_atom_site_label
_atom_site_fract_x
_atom_site_fract_y
_atom_site_fract_z
Cd1 0.178 0.000 0.183
Mo1 0.000 0.000 0.500
O1 0.102 0.500 0.422
O2 0.154 0.000 0.782
F1 0.000 0.500 0.000
# - Total moment: 1.00 μB per formula unit
# - Density of states at the Fermi level: 0.00 states/eV/f.u.
# - ρ: 6.67 g/cm3
# - Raw total energy: -41.919 eV/f.u.



# 5
# CdMoO4F PBE+U optimized geometry
data_CdMoO4F
_chemical_formula_sum 'Cd2 Mo2 O8 F2'
_space_group_name_H-M_alt 'P 1 21/m 1'
_space_group_IT_number 11
_cell_length_a 4.639
_cell_length_b 7.341
_cell_length_c 6.514
_cell_angle_alpha 90.00
_cell_angle_beta 91.35
_cell_angle_gamma 90.00
loop_
_space_group_symop_operation_xyz
'x,y,z'
'-x,-y,-z'
'-x,y+1/2,-z'
'x,-y+1/2,z'
loop_
_atom_site_label
_atom_site_fract_x
_atom_site_fract_y
_atom_site_fract_z
Cd1 0.157 0.250 0.242
Mo1 0.328 0.750 0.298
O1 0.145 0.549 0.213
O2 0.276 0.750 0.581
O3 0.297 0.250 0.577
F1 0.426 0.250 0.956
# - Total moment: 1.02 μB per formula unit
# - ρ: 4.36 g/cm3
# - Raw total energy: -38.826 eV/f.u.



# 6
# CdMo2PbF PBE+U optimized geometry
data_CdMo2PbF
_chemical_formula_sum 'Cd1 Mo2 Pb1 F1'
_space_group_name_H-M_alt 'P 4/m m m'
_space_group_IT_number 123
_space_group_name_Hall '-P 4 2'
_cell_length_a 5.940
_cell_length_b 5.940
_cell_length_c 4.310
_cell_angle_alpha 90.00
_cell_angle_beta 90.00
_cell_angle_gamma 90.00
loop_
_atom_site_label
_atom_site_fract_x
_atom_site_fract_y
_atom_site_fract_z
Cd1 0.000 0.000 0.000
Mo1 0.000 0.500 0.000
Pb1 0.500 0.500 0.500
F1 0.000 0.000 0.500
# - Total moment: 9.25 μB per formula unit
# - Density of states at the Fermi level: 2.59 states/eV/f.u.
# - ρ: 5.79 g/cm3
# - Raw total energy: -17.048 eV/f.u.



# 7
# RbCdMo2F PBE+U optimized geometry
data_RbCdMo2F
_chemical_formula_sum 'Rb1 Cd1 Mo2 F1'
_space_group_name_H-M_alt 'P 4/m m m'
_space_group_IT_number 123
_space_group_name_Hall '-P 4 2'
_cell_length_a 5.759
_cell_length_b 5.759
_cell_length_c 5.195
_cell_angle_alpha 90.00
_cell_angle_beta 90.00
_cell_angle_gamma 90.00
loop_
_atom_site_label
_atom_site_fract_x
_atom_site_fract_y
_atom_site_fract_z
Rb1 0.000 0.000 0.000
Cd1 0.500 0.500 0.500
Mo1 0.000 0.500 0.500
F1 0.500 0.500 0.000
# - Total moment: 10.16 μB per formula unit
# - Density of states at the Fermi level: 1.53 states/eV/f.u.
# - ρ: 3.94 g/cm3
# - Raw total energy: -15.096 eV/f.u.



# 8
# RbCdMoF6 PBE+U optimized geometry
data_RbCdMoF6
_chemical_formula_sum 'Rb4 Cd4 Mo4 F24'
_space_group_name_H-M_alt 'I m m a'
_space_group_IT_number 74
_space_group_name_Hall '-I 2b 2'
_cell_length_a 7.817
_cell_length_b 8.000
_cell_length_c 11.390
_cell_angle_alpha 90.00
_cell_angle_beta 90.00
_cell_angle_gamma 90.00
loop_
_atom_site_label
_atom_site_fract_x
_atom_site_fract_y
_atom_site_fract_z
Rb1 0.000 0.250 0.092
Cd1 0.250 0.250 0.750
Mo1 0.000 0.000 0.500
F1 0.000 0.250 0.442
F2 0.000 0.250 0.840
F3 0.196 0.037 0.622
# - Total moment: 3.00 μB per formula unit
# - Density of states at the Fermi level: 0.00 states/eV/f.u.
# - ρ: 3.80 g/cm3
# - Raw total energy: -42.847 eV/f.u.



# 9
# RbCd2MoF8 PBE+U optimized geometry
data_RbCd2MoF8
_chemical_formula_sum 'Rb1 Cd2 Mo1 F8'
_space_group_name_H-M_alt 'P 1 2/m 1'
_space_group_IT_number 10
_cell_length_a 4.975
_cell_length_b 7.456
_cell_length_c 5.408
_cell_angle_alpha 90.00
_cell_angle_beta 90.52
_cell_angle_gamma 90.00
loop_
_space_group_symop_operation_xyz
'x,y,z'
'-x,-y,-z'
'-x,y,-z'
'x,-y,z'
loop_
_atom_site_label
_atom_site_fract_x
_atom_site_fract_y
_atom_site_fract_z
Rb1 0.000 0.000 0.000
Cd1 0.500 0.250 0.500
Mo1 0.000 0.500 0.000
F1 0.159 0.304 0.238
F2 0.325 0.500 0.740
F3 0.431 0.000 0.727
# - Total moment: 3.00 μB per formula unit
# - Density of states at the Fermi level: 0.00 states/eV/f.u.
# - ρ: 4.62 g/cm3
# - Raw total energy: -53.553 eV/f.u.



# 10
# CdTeMoF2 PBE+U optimized geometry
data_CdTeMoF2
_chemical_formula_sum 'Cd1 Te1 Mo1 F2'
_space_group_name_H-M_alt 'P 4/m m m'
_space_group_IT_number 123
_space_group_name_Hall '-P 4 2'
_cell_length_a 4.273
_cell_length_b 4.273
_cell_length_c 6.077
_cell_angle_alpha 90.00
_cell_angle_beta 90.00
_cell_angle_gamma 90.00
loop_
_atom_site_label
_atom_site_fract_x
_atom_site_fract_y
_atom_site_fract_z
Cd1 0.000 0.000 0.000
Te1 0.500 0.500 0.000
Mo1 0.500 0.500 0.500
F1 0.000 0.500 0.500
# - Total moment: 3.43 μB per formula unit
# - Density of states at the Fermi level: 1.46 states/eV/f.u.
# - ρ: 5.60 g/cm3
# - Raw total energy: -21.481 eV/f.u.



# 11
# TlCdMoF6 PBE+U optimized geometry
data_TlCdMoF6
_chemical_formula_sum 'Tl2 Cd2 Mo2 F12'
_space_group_name_H-M_alt 'P -3 1 c'
_space_group_IT_number 163
_space_group_name_Hall '-P 3 2c'
_cell_length_a 5.9903
_cell_length_b 5.9903
_cell_length_c 11.2489
_cell_angle_alpha 90.00
_cell_angle_beta 90.00
_cell_angle_gamma 120.00
loop_
_atom_site_label
_atom_site_fract_x
_atom_site_fract_y
_atom_site_fract_z
Tl1 0.0000 0.0000 0.0000
Cd1 0.3333 0.6667 0.2500
Mo1 0.3333 0.6667 0.7500
F1 0.0215 0.3818 0.6506
# - Total moment: 3.00 μB per formula unit
# - Density of states at the Fermi level: 0.00 states/eV/f.u.
# - ρ: 5.00 g/cm3
# - Raw total energy: -42.298 eV/f.u.



# 12
# ZnCdMoF6 PBE+U optimized geometry
data_ZnCdMoF6
_chemical_formula_sum 'Zn2 Cd2 Mo2 F12'
_space_group_name_H-M_alt 'P -3 1 c'
_space_group_IT_number 163
_space_group_name_Hall '-P 3 2c'
_cell_length_a 5.6721
_cell_length_b 5.6721
_cell_length_c 10.2532
_cell_angle_alpha 90.00
_cell_angle_beta 90.00
_cell_angle_gamma 120.00
loop_
_atom_site_label
_atom_site_fract_x
_atom_site_fract_y
_atom_site_fract_z
Zn1 0.3333 0.6667 0.2500
Cd1 0.0000 0.0000 0.0000
Mo1 0.3333 0.6667 0.7500
F1 0.0022 0.3651 0.1440
# - Total moment: 3.33 μB per formula unit
# - Density of states at the Fermi level: 2.59 states/eV/f.u.
# - ρ: 4.51 g/cm3
# - Raw total energy: -39.838 eV/f.u.



What is the formula in the tenth record? CdTeMoF2